# 1
The following is a DFT calculation (GGA-PBE) of an optimized crystal structure of SrH3.

Lattice parameters (Å, degrees): 3.551 3.551 3.810 90.00 90.00 90.00
Atoms (fractional coordinates):
Sr  0.000  0.000  0.000
H  0.000  0.500  0.500
H  0.500  0.000  0.500
H  0.500  0.500  0.000

The uncorrected energy comes out at -2.771 eV per atom. The value obtained for the density of states at the Fermi level is 0.71 states/eV per cell.



# 2
The following is a DFT calculation (GGA-PBE) of an optimized crystal structure of SrTaH2.

Lattice parameters (Å, degrees): 5.499 5.499 5.499 119.94 119.94 90.11
Atoms (fractional coordinates):
Sr  0.000  0.000  0.000
Sr  0.750  0.250  0.500
Ta  0.250  0.750  0.500
Ta  0.500  0.500  0.000
H  0.208  0.125  0.583
H  0.375  0.792  0.917
H  0.542  0.625  0.417
H  0.875  0.458  0.083

The uncorrected energy comes out at -4.905 eV per atom. For the energy above the most stable polymorph in this dataset, the calculation gives 0.000 eV/atom. The value obtained for the density of states at the Fermi level is 5.66 states/eV per cell.



# 3
The following is a DFT calculation (GGA-PBE) of an optimized crystal structure of SrTa3H.

Lattice parameters (Å, degrees): 4.458 4.458 4.458 90.00 90.00 90.00
Atoms (fractional coordinates):
Sr  0.000  0.000  0.000
Ta  0.000  0.500  0.500
Ta  0.500  0.000  0.500
Ta  0.500  0.500  0.000
H  0.500  0.500  0.500

The uncorrected energy comes out at -7.257 eV per atom. For the energy above the most stable polymorph in this dataset, the calculation gives 0.000 eV/atom. The value obtained for the density of states at the Fermi level is 6.25 states/eV per cell.



# 4
The following is a DFT calculation (GGA-PBE) of an optimized crystal structure of SrTaH.

Lattice parameters (Å, degrees): 3.256 3.256 11.809 90.00 90.00 120.00
Atoms (fractional coordinates):
Sr  0.000  0.000  0.155
Sr  0.000  0.000  0.845
Ta  0.667  0.333  0.388
Ta  0.667  0.333  0.612
H  0.333  0.667  0.000
H  0.333  0.667  0.500

The uncorrected energy comes out at -5.066 eV per atom. For the energy above the most stable polymorph in this dataset, the calculation gives 0.595 eV/atom. The value obtained for the density of states at the Fermi level is 6.19 states/eV per cell.